# PBE Sm3Dy4Tm4, relaxed
data_Sm3Dy4Tm4
_chemical_formula_sum 'Sm6 Dy8 Tm8'
_symmetry_space_group_name_H-M 'C 1 2/m 1'
_symmetry_Int_Tables_number 12
_cell_length_a 39.3413
_cell_length_b 3.5470
_cell_length_c 5.0010
_cell_angle_alpha 90.00
_cell_angle_beta 97.29
_cell_angle_gamma 90.00
loop_
_symmetry_equiv_pos_as_xyz
'x,y,z'
'-x,-y,-z'
'-x,y,-z'
'x,-y,z'
'x+1/2,y+1/2,z'
'-x+1/2,-y+1/2,-z'
'-x+1/2,y+1/2,-z'
'x+1/2,-y+1/2,z'
loop_
_atom_site_label
_atom_site_fract_x
_atom_site_fract_y
_atom_site_fract_z
Sm1 0.0000 0.0000 0.0000
Sm2 0.1369 0.5000 0.6364
Dy1 0.0460 0.5000 0.5455
Dy2 0.1829 0.0000 0.1825
Tm1 0.0911 0.0000 0.0906
Tm2 0.2277 0.5000 0.7276
# Density of states at the Fermi level: 1.22 states/eV/atom
# Crystal system: monoclinic
# Polymorph energy (0 for the lowest one): 0 meV/atom
# ΔH_f (0 K): 0.22 eV per formula unit

=====

# PBE Sm6Y16Ho7, relaxed
data_Sm6Y16Ho7
_chemical_formula_sum 'Sm24 Y64 Ho28'
_symmetry_space_group_name_H-M 'F m -3 m'
_symmetry_Int_Tables_number 225
_symmetry_space_group_name_Hall '-F 4 2 3'
_cell_length_a 15.8322
_cell_length_b 15.8322
_cell_length_c 15.8322
_cell_angle_alpha 90.00
_cell_angle_beta 90.00
_cell_angle_gamma 90.00
loop_
_atom_site_label
_atom_site_fract_x
_atom_site_fract_y
_atom_site_fract_z
Sm1 0.0000 0.0000 0.2191
Y1 0.1221 0.1221 0.3779
Y2 0.1535 0.1535 0.1535
Ho1 0.0000 0.0000 0.5000
Ho2 0.0000 0.2500 0.2500
# Density of states at the Fermi level: 1.84 states/eV/atom
# Crystal system: cubic
# ΔH_f (0 K): 7.03 eV per formula unit

=====

# PBE KInPb2, relaxed
data_KInPb2
_chemical_formula_sum 'K4 In4 Pb8'
_symmetry_space_group_name_H-M 'I -4 2 d'
_symmetry_Int_Tables_number 122
_symmetry_space_group_name_Hall 'I -4 2bw'
_cell_length_a 5.4307
_cell_length_b 5.4307
_cell_length_c 20.9908
_cell_angle_alpha 90.00
_cell_angle_beta 90.00
_cell_angle_gamma 90.00
loop_
_atom_site_label
_atom_site_fract_x
_atom_site_fract_y
_atom_site_fract_z
K1 0.0000 0.0000 0.0000
In1 0.0000 0.0000 0.5000
Pb1 0.1727 0.2500 0.6250
# Density of states at the Fermi level: 0.57 states/eV/atom
# Crystal system: tetragonal
# ΔH_f (0 K): 0.33 eV per formula unit

=====

# PBE Al3MoAs, relaxed
data_Al3MoAs
_chemical_formula_sum 'Al3 Mo1 As1'
_symmetry_space_group_name_H-M 'P m -3 m'
_symmetry_Int_Tables_number 221
_symmetry_space_group_name_Hall '-P 4 2 3'
_cell_length_a 4.8336
_cell_length_b 4.8336
_cell_length_c 4.8336
_cell_angle_alpha 90.00
_cell_angle_beta 90.00
_cell_angle_gamma 90.00
loop_
_atom_site_label
_atom_site_fract_x
_atom_site_fract_y
_atom_site_fract_z
Al1 0.0000 0.0000 0.5000
Mo1 0.0000 0.0000 0.0000
As1 0.5000 0.5000 0.5000
# Density of states at the Fermi level: 0.66 states/eV/atom
# Crystal system: cubic
# Polymorph energy (0 for the lowest one): 0 meV/atom
# ΔH_f (0 K): 4.12 eV per formula unit

=====

# PBE PaAgHgO4, relaxed
data_PaAgHgO4
_chemical_formula_sum 'Pa4 Ag4 Hg4 O16'
_symmetry_space_group_name_H-M 'I m m a'
_symmetry_Int_Tables_number 74
_symmetry_space_group_name_Hall '-I 2b 2'
_cell_length_a 6.5973
_cell_length_b 7.0706
_cell_length_c 10.4220
_cell_angle_alpha 90.00
_cell_angle_beta 90.00
_cell_angle_gamma 90.00
loop_
_atom_site_label
_atom_site_fract_x
_atom_site_fract_y
_atom_site_fract_z
Pa1 0.0000 0.0000 0.0000
Ag1 0.0000 0.2500 0.3480
Hg1 0.2500 0.2500 0.7500
O1 0.0000 0.0232 0.7904
O2 0.2020 0.2500 0.0117
# Crystal system: orthorhombic
# Formation energy without anion corrections: -170.3 kJ/mol of atoms

=====

# PBE CaIrW2, relaxed
data_CaIrW2
_chemical_formula_sum 'Ca1 Ir1 W2'
_symmetry_space_group_name_H-M 'P 4/m m m'
_symmetry_Int_Tables_number 123
_symmetry_space_group_name_Hall '-P 4 2'
_cell_length_a 4.8724
_cell_length_b 4.8724
_cell_length_c 2.8893
_cell_angle_alpha 90.00
_cell_angle_beta 90.00
_cell_angle_gamma 90.00
loop_
_atom_site_label
_atom_site_fract_x
_atom_site_fract_y
_atom_site_fract_z
Ca1 0.0000 0.0000 0.0000
Ir1 0.5000 0.5000 0.0000
W1 0.0000 0.5000 0.5000
# Density of states at the Fermi level: 1.06 states/eV/atom
# Crystal system: tetragonal
# Polymorph energy (0 for the lowest one): 567 meV/atom
# ΔH_f (0 K): 3.44 eV per formula unit

=====

# PBE Dy3Zn4Ag4, relaxed
data_Dy3Zn4Ag4
_chemical_formula_sum 'Dy6 Zn8 Ag8'
_symmetry_space_group_name_H-M 'C 1 2/m 1'
_symmetry_Int_Tables_number 12
_cell_length_a 28.4786
_cell_length_b 3.5066
_cell_length_c 4.5655
_cell_angle_alpha 90.00
_cell_angle_beta 99.03
_cell_angle_gamma 90.00
loop_
_symmetry_equiv_pos_as_xyz
'x,y,z'
'-x,-y,-z'
'-x,y,-z'
'x,-y,z'
'x+1/2,y+1/2,z'
'-x+1/2,-y+1/2,-z'
'-x+1/2,y+1/2,-z'
'x+1/2,-y+1/2,z'
loop_
_atom_site_label
_atom_site_fract_x
_atom_site_fract_y
_atom_site_fract_z
Dy1 0.0000 0.0000 0.0000
Dy2 0.1404 0.0000 0.6397
Zn1 0.0453 0.5000 0.5452
Zn2 0.1870 0.5000 0.1870
Ag1 0.0934 0.5000 0.0926
Ag2 0.2376 0.5000 0.7374
# Density of states at the Fermi level: 0.75 states/eV/atom
# Crystal system: monoclinic
# ΔH_f (0 K): -2.97 eV per formula unit

=====

# PBE NaMoBr2, relaxed
data_NaMoBr2
_chemical_formula_sum 'Na4 Mo4 Br8'
_symmetry_space_group_name_H-M 'I -4 2 d'
_symmetry_Int_Tables_number 122
_symmetry_space_group_name_Hall 'I -4 2bw'
_cell_length_a 5.7881
_cell_length_b 5.7881
_cell_length_c 13.8666
_cell_angle_alpha 90.00
_cell_angle_beta 90.00
_cell_angle_gamma 90.00
loop_
_atom_site_label
_atom_site_fract_x
_atom_site_fract_y
_atom_site_fract_z
Na1 0.0000 0.0000 0.0000
Mo1 0.0000 0.0000 0.5000
Br1 0.1944 0.2500 0.6250
# Density of states at the Fermi level: 0.68 states/eV/atom
# Crystal system: tetragonal
# Formation energy without anion corrections: 16.0 kJ/mol of atoms
# Polymorph energy (0 for the lowest one): 172 meV/atom

=====

# PBE KGa2Pb2, relaxed
data_KGa2Pb2
_chemical_formula_sum 'K2 Ga4 Pb4'
_symmetry_space_group_name_H-M 'P 4/m b m'
_symmetry_Int_Tables_number 127
_symmetry_space_group_name_Hall '-P 4 2ab'
_cell_length_a 8.9057
_cell_length_b 8.9057
_cell_length_c 3.6077
_cell_angle_alpha 90.00
_cell_angle_beta 90.00
_cell_angle_gamma 90.00
loop_
_atom_site_label
_atom_site_fract_x
_atom_site_fract_y
_atom_site_fract_z
K1 0.0000 0.0000 0.0000
Ga1 0.1310 0.3690 0.0000
Pb1 0.1529 0.6529 0.5000
# Density of states at the Fermi level: 0.54 states/eV/atom
# Crystal system: tetragonal
# Polymorph energy (0 for the lowest one): 85 meV/atom
# ΔH_f (0 K): -0.08 eV per formula unit

=====

# PBE HfTe3Br, relaxed
data_HfTe3Br
_chemical_formula_sum 'Hf1 Te3 Br1'
_symmetry_space_group_name_H-M 'P m -3 m'
_symmetry_Int_Tables_number 221
_symmetry_space_group_name_Hall '-P 4 2 3'
_cell_length_a 5.5307
_cell_length_b 5.5307
_cell_length_c 5.5307
_cell_angle_alpha 90.00
_cell_angle_beta 90.00
_cell_angle_gamma 90.00
loop_
_atom_site_label
_atom_site_fract_x
_atom_site_fract_y
_atom_site_fract_z
Hf1 0.0000 0.0000 0.0000
Te1 0.0000 0.0000 0.5000
Br1 0.5000 0.5000 0.5000
# Density of states at the Fermi level: 1.59 states/eV/atom
# Crystal system: cubic
# Formation energy without anion corrections: -10.8 kJ/mol of atoms
# Polymorph energy (0 for the lowest one): 0 meV/atom

=====

# PBE Mg2VGePb, relaxed
data_Mg2VGePb
_chemical_formula_sum 'Mg2 V1 Ge1 Pb1'
_symmetry_space_group_name_H-M 'P 4/m m m'
_symmetry_Int_Tables_number 123
_symmetry_space_group_name_Hall '-P 4 2'
_cell_length_a 4.8736
_cell_length_b 4.8736
_cell_length_c 5.7474
_cell_angle_alpha 90.00
_cell_angle_beta 90.00
_cell_angle_gamma 90.00
loop_
_atom_site_label
_atom_site_fract_x
_atom_site_fract_y
_atom_site_fract_z
Mg1 0.0000 0.5000 0.0000
V1 0.0000 0.0000 0.5000
Ge1 0.5000 0.5000 0.0000
Pb1 0.5000 0.5000 0.5000
# Density of states at the Fermi level: 1.56 states/eV/atom
# Crystal system: tetragonal
# ΔH_f (0 K): 4.90 eV per formula unit